K2ReNi | the Alexandria database | PBE-GGA | relaxed; magnetic moment = 1.90 μB per formula unit; ΔH_f (0 K) = 1.221 eV per atom; E above lowest polymorph = 0.4568 eV/atom; DOS at the Fermi energy = 2.86 states/eV/cell
1.0
6.219 0.019 0.002
2.133 5.842 -0.002
-3.432 -3.991 3.312
K Ni Re
2 1 1
direct
0.712 0.212 0.500
0.026 0.026 0.000
0.432 0.432 0.000
0.330 0.830 0.500

LiZnCr | the Alexandria database | PBE-GGA | relaxed; magnetic moment = 0.00 μB per formula unit; ΔH_f (0 K) = 0.133 eV per atom; E above lowest polymorph = 0.0586 eV/atom; DOS at the Fermi energy = 2.84 states/eV/cell
1.0
2.478 0.000 -0.006
0.000 3.982 0.000
-0.561 0.000 7.924
Cr Li Zn
2 2 2
direct
0.842 0.000 0.531
0.083 0.500 0.399
0.323 0.000 0.220
0.052 0.000 0.877
0.449 0.500 0.710
0.671 0.500 0.070

MgCdPb2 | the Alexandria database | PBE-GGA | relaxed; magnetic moment = 0.00 μB per formula unit; ΔH_f (0 K) = 0.002 eV per atom; E above lowest polymorph = 0.0281 eV/atom; DOS at the Fermi energy = 3.69 states/eV/cell
1.0
-3.093 -2.821 -5.229
1.176 -3.735 5.439
-6.466 -1.657 0.599
Mg Pb Cd
2 4 2
direct
0.000 0.750 0.250
0.000 0.250 0.750
0.001 0.250 0.250
0.999 0.750 0.750
0.500 0.250 0.750
0.500 0.750 0.250
0.500 0.250 0.250
0.500 0.750 0.750

Pm8PrEr5 | the Alexandria database | PBE-GGA | relaxed; magnetic moment = 0.00 μB per formula unit; ΔH_f (0 K) = 0.239 eV per atom; DOS at the Fermi energy = 20.89 states/eV/cell
1.0
-7.535 2.087 3.442
-0.407 -7.423 -4.210
5.435 -0.403 6.579
Pm Pr Er
8 1 5
direct
0.925 0.088 0.659
0.532 0.605 0.276
0.163 0.734 0.075
0.073 0.744 0.468
0.724 0.256 0.328
0.571 0.912 0.837
0.341 0.266 0.429
0.672 0.395 0.927
0.250 0.500 0.750
0.817 0.685 0.723
0.500 0.000 0.500
0.868 0.906 0.183
0.277 0.094 0.961
0.039 0.315 0.132

NbInNiIr | the Alexandria database | PBE-GGA | relaxed; magnetic moment = 0.59 μB per formula unit; ΔH_f (0 K) = -0.206 eV per atom; DOS at the Fermi energy = 4.74 states/eV/cell
1.0
4.500 0.000 0.000
2.250 3.897 0.000
2.250 1.299 3.674
Nb Ir In Ni
1 1 1 1
direct
0.500 0.500 0.500
0.750 0.750 0.750
0.000 0.000 0.000
0.250 0.250 0.250

Na3Ag | the Alexandria database | PBE-GGA | relaxed; magnetic moment = 0.00 μB per formula unit; ΔH_f (0 K) = -0.005 eV per atom; DOS at the Fermi energy = 8.98 states/eV/cell
1.0
-4.005 3.592 -3.054
-9.222 -7.595 3.161
-1.913 6.599 10.272
Na Ag
24 8
direct
0.227 0.364 0.469
0.482 0.919 0.614
0.982 0.114 0.581
0.773 0.531 0.364
0.018 0.419 0.114
0.011 0.278 0.826
0.982 0.886 0.419
0.773 0.469 0.636
0.018 0.581 0.886
0.273 0.864 0.969
0.727 0.031 0.864
0.518 0.386 0.919
0.989 0.826 0.722
0.511 0.674 0.778
0.511 0.326 0.222
0.489 0.222 0.674
0.482 0.081 0.386
0.727 0.969 0.136
0.489 0.778 0.326
0.989 0.174 0.278
0.011 0.722 0.174
0.518 0.614 0.081
0.273 0.136 0.031
0.227 0.636 0.531
0.777 0.789 0.956
0.223 0.044 0.789
0.277 0.544 0.289
0.723 0.711 0.544
0.223 0.956 0.211
0.723 0.289 0.456
0.777 0.211 0.044
0.277 0.456 0.711

NaNiS2 | the Alexandria database | PBE-GGA | relaxed; magnetic moment = 0.00 μB per formula unit; energy relative to the elements, uncorrected = -0.509 eV per atom; DOS at the Fermi energy = 7.27 states/eV/cell
1.0
-6.660 0.345 0.152
0.013 -2.469 6.197
-3.129 2.133 4.446
Ni S Na
2 4 2
direct
0.000 0.000 0.000
0.750 0.250 0.500
0.875 0.965 0.750
0.035 0.625 0.250
0.715 0.125 0.250
0.375 0.285 0.750
0.500 0.500 0.000
0.250 0.750 0.500

Pa3Tl4NiS8 | the Alexandria database | PBE-GGA | relaxed; magnetic moment = 2.88 μB per formula unit; energy relative to the elements, uncorrected = -0.944 eV per atom; DOS at the Fermi energy = 13.39 states/eV/cell
1.0
7.575 0.000 0.000
0.000 9.084 0.670
-3.787 -4.055 5.750
S Pa Tl Ni
8 3 4 1
direct
0.750 0.671 0.954
0.274 0.303 0.547
0.726 0.697 0.453
0.253 0.712 0.506
0.250 0.329 0.046
0.204 0.671 0.954
0.796 0.329 0.046
0.747 0.288 0.494
0.500 0.500 0.500
0.000 0.500 0.500
0.500 0.500 0.000
0.500 0.000 0.000
0.000 0.000 0.500
0.000 0.000 0.000
0.500 0.000 0.500
0.000 0.500 0.000